First-principles (GGA-PBE) data for an optimized crystal structure of NdThNiPt, as listed in the Alexandria database.

Cell lengths 5.0474, 5.0474, 5.0474 Å; angles 60.00, 60.00, 60.00 degrees
Atoms (fractional coordinates):
Nd1 0.0000 0.0000 0.0000
Th1 0.5000 0.5000 0.5000
Ni1 0.2500 0.2500 0.2500
Pt1 0.7500 0.7500 0.7500

Summary:
- Crystal system: cubic
- Energy relative to the elements: -2.490 eV per formula unit
- Symmetry: F-43m
- Energy above the lowest structure with this stoichiometry: 158 meV per atom

First-principles (GGA-PBE) data for an optimized crystal structure of Ac5Tc2Ge5, as listed in the Alexandria database.

Cell lengths 6.9913, 6.9913, 10.8709 Å; angles 95.53, 95.53, 38.43 degrees
Atoms (fractional coordinates):
Ac1 0.0000 0.0000 0.0000
Ac2 0.1492 0.1492 0.5973
Ac3 0.2838 0.2838 0.8910
Ac4 0.7162 0.7162 0.1090
Ac5 0.8508 0.8508 0.4027
Tc1 0.4302 0.4302 0.6921
Tc2 0.5698 0.5698 0.3079
Ge1 0.1400 0.1400 0.2903
Ge2 0.4019 0.4019 0.1757
Ge3 0.5000 0.5000 0.5000
Ge4 0.5981 0.5981 0.8243
Ge5 0.8600 0.8600 0.7097

Summary:
- Crystal system: monoclinic
- Energy relative to the elements: -4.825 eV per formula unit
- Symmetry: C2/m

First-principles (GGA-PBE) data for an optimized crystal structure of Ce2Ge2Pd5, as listed in the Alexandria database.

Cell lengths 4.2635, 4.2635, 9.2491 Å; angles 90.00, 90.00, 90.00 degrees
Atoms (fractional coordinates):
Ce1 0.0000 0.0000 0.0000
Ce2 0.0000 0.0000 0.5000
Ge1 0.5000 0.5000 0.1341
Ge2 0.5000 0.5000 0.8659
Pd1 0.0000 0.5000 0.2799
Pd2 0.0000 0.5000 0.7201
Pd3 0.5000 0.0000 0.2799
Pd4 0.5000 0.0000 0.7201
Pd5 0.5000 0.5000 0.5000

Summary:
- Crystal system: tetragonal
- Energy relative to the elements: -6.839 eV per formula unit
- Symmetry: P4/mmm

First-principles (GGA-PBE) data for an optimized crystal structure of ZnHg2Pd5, as listed in the Alexandria database.

Cell lengths 7.6530, 7.6530, 7.6530 Å; angles 147.03, 147.03, 47.31 degrees
Atoms (fractional coordinates):
Zn1 0.0000 0.0000 0.0000
Hg1 0.2518 0.2518 0.0000
Hg2 0.7482 0.7482 0.0000
Pd1 0.1157 0.6157 0.5000
Pd2 0.3843 0.8843 0.5000
Pd3 0.5000 0.5000 0.0000
Pd4 0.6157 0.1157 0.5000
Pd5 0.8843 0.3843 0.5000

Summary:
- Crystal system: tetragonal
- Energy relative to the elements: -1.960 eV per formula unit
- Symmetry: I4/mmm

First-principles (GGA-PBE) data for an optimized crystal structure of Ba3BiH2, as listed in the Alexandria database.

Cell lengths 8.3361, 8.3361, 5.8268 Å; angles 90.00, 90.00, 102.28 degrees
Atoms (fractional coordinates):
Ba1 0.1155 0.8845 0.7500
Ba2 0.1835 0.4086 0.7500
Ba3 0.4086 0.1835 0.2500
Ba4 0.5914 0.8165 0.7500
Ba5 0.8165 0.5914 0.2500
Ba6 0.8845 0.1155 0.2500
Bi1 0.3134 0.6866 0.2500
Bi2 0.6866 0.3134 0.7500
H1 0.1475 0.1475 0.0000
H2 0.1475 0.1475 0.5000
H3 0.8525 0.8525 0.0000
H4 0.8525 0.8525 0.5000

Summary:
- Crystal system: orthorhombic
- Symmetry: Cmcm
- Energy above the lowest structure with this stoichiometry: 0 meV per atom

First-principles (GGA-PBE) data for an optimized crystal structure of CuHgOs2O8, as listed in the Alexandria database.

Cell lengths 6.7833, 6.7833, 7.7472 Å; angles 112.60, 112.60, 48.93 degrees
Atoms (fractional coordinates):
Cu1 0.0000 0.0000 0.0000
Hg1 0.5000 0.5000 0.5000
Os1 0.3119 0.3119 0.8404
Os2 0.6881 0.6881 0.1596
O1 0.1386 0.6477 0.8276
O2 0.1674 0.1674 0.6640
O3 0.3062 0.3062 0.0625
O4 0.3523 0.8614 0.1724
O5 0.6477 0.1386 0.8276
O6 0.6938 0.6938 0.9375
O7 0.8326 0.8326 0.3360
O8 0.8614 0.3523 0.1724

Summary:
- ΔE_f (raw): -744 meV per atom
- Crystal system: monoclinic
- Symmetry: C2/m

First-principles (GGA-PBE) data for an optimized crystal structure of KFeN, as listed in the Alexandria database.

Cell lengths 4.8599, 4.8599, 6.4420 Å; angles 117.60, 117.60, 76.25 degrees
Atoms (fractional coordinates):
K1 0.1664 0.1664 0.3359
K2 0.8336 0.8336 0.6641
Fe1 0.3557 0.3557 0.0006
Fe2 0.6443 0.6443 0.9994
N1 0.0000 0.5000 0.0000
N2 0.5000 0.0000 0.0000

Summary:
- ΔE_f (raw): 30 meV per atom
- Crystal system: monoclinic
- Symmetry: C2/m
- Energy above the lowest structure with this stoichiometry: 70 meV per atom

First-principles (GGA-PBE) data for an optimized crystal structure of Nd2TiO, as listed in the Alexandria database.

Cell lengths 9.1417, 9.1417, 9.1417 Å; angles 21.81, 21.81, 21.81 degrees
Atoms (fractional coordinates):
Nd1 0.1113 0.1113 0.1113
Nd2 0.8887 0.8887 0.8887
Ti1 0.0000 0.0000 0.0000
O1 0.5000 0.5000 0.5000

Summary:
- ΔE_f (raw): -835 meV per atom
- Crystal system: trigonal
- Symmetry: R-3m